Computed, not measured: crystalline Ba4ZrPa3N8 at its relaxed geometry at the PBE level of DFT.

```
Ba4ZrPa3N8
1.0
7.172 0.000 0.000
0.000 7.664 0.333
-3.586 -3.577 5.078
N Ba Pa Zr
8 4 3 1
direct
0.224 0.671 0.947
0.776 0.329 0.053
0.224 0.671 0.447
0.276 0.329 0.053
0.776 0.329 0.553
0.724 0.671 0.947
0.723 0.670 0.446
0.277 0.330 0.554
0.500 0.000 0.000
0.000 0.000 0.500
0.500 0.000 0.500
0.000 0.000 0.000
0.500 0.500 0.500
0.000 0.500 0.500
0.500 0.500 0.000
0.000 0.500 0.000
```

Computed properties:
Space group: R-3m
Mass density: 8.35 Mg/m³
Formation energy from raw total energies: -1.254 eV per atom
DOS(E_F): 6.48 states/eV/cell
Crystal system: trigonal

Computed, not measured: crystalline BaZrPa2N5 at its relaxed geometry at the PBE level of DFT.

```
BaZrPa2N5
1.0
-0.862 3.343 5.887
5.397 -3.244 2.632
1.354 4.370 -6.240
N Pa Zr Ba
10 4 2 2
direct
0.475 0.274 0.249
0.500 0.500 0.000
0.000 0.000 0.000
0.525 0.726 0.751
0.726 0.226 0.751
0.025 0.525 0.751
0.975 0.475 0.249
0.274 0.774 0.249
0.774 0.975 0.249
0.226 0.025 0.751
0.181 0.319 0.000
0.319 0.819 0.000
0.681 0.181 0.000
0.819 0.681 0.000
0.750 0.250 0.500
0.250 0.750 0.500
0.250 0.250 0.500
0.750 0.750 0.500
```

Computed properties:
Space group: I4/mcm
Mass density: 8.97 Mg/m³
Formation energy from raw total energies: -1.295 eV per atom
DOS(E_F): 9.72 states/eV/cell
Crystal system: tetragonal

Computed, not measured: crystalline Ba2ZrPaN4 at its relaxed geometry at the PBE level of DFT.

```
Ba2ZrPaN4
1.0
3.559 0.000 0.000
0.000 6.075 0.104
0.000 -2.123 6.395
Pa N Zr Ba
1 4 1 2
direct
0.500 0.500 0.000
0.500 0.227 0.178
0.000 0.271 0.825
0.500 0.773 0.822
0.000 0.729 0.175
0.000 0.000 0.000
0.500 0.000 0.500
0.000 0.500 0.500
```

Computed properties:
Space group: P2/m
Mass density: 7.80 Mg/m³
Formation energy from raw total energies: -1.203 eV per atom
DOS(E_F): 2.70 states/eV/cell
Crystal system: monoclinic

Computed, not measured: crystalline Ba9Pb3N2 at its relaxed geometry at the PBE level of DFT.

```
Ba9Pb3N2
1.0
-0.387 -3.130 7.320
0.897 -4.762 -6.329
9.764 0.735 0.830
Pb Ba N
3 9 2
direct
0.333 0.667 0.335
0.667 0.333 0.665
0.000 0.000 0.000
0.175 0.349 0.677
0.651 0.825 0.677
0.175 0.825 0.677
0.500 0.000 0.000
0.349 0.175 0.323
0.500 0.500 0.000
0.825 0.651 0.323
0.000 0.500 0.000
0.825 0.175 0.323
0.667 0.333 0.181
0.333 0.667 0.819
```

Computed properties:
Space group: P-3m1
Mass density: 5.79 Mg/m³
Formation energy from raw total energies: -0.526 eV per atom
DOS(E_F): 8.00 states/eV/cell
Crystal system: trigonal

Computed, not measured: crystalline Ba4PbN at its relaxed geometry at the PBE level of DFT.

```
Ba4PbN
1.0
-6.330 -3.008 1.025
3.344 -5.440 4.688
-0.430 9.377 4.494
Ba N Pb
8 2 2
direct
0.528 0.854 0.245
0.850 0.299 0.598
0.150 0.701 0.402
0.000 0.264 0.000
0.472 0.146 0.755
0.000 0.736 0.000
0.528 0.391 0.245
0.472 0.609 0.755
0.750 0.420 0.841
0.250 0.580 0.159
0.767 0.802 0.603
0.233 0.198 0.397
```

Computed properties:
Space group: C2/m
Mass density: 4.98 Mg/m³
Formation energy from raw total energies: -0.386 eV per atom
DOS(E_F): 6.36 states/eV/cell
Crystal system: monoclinic

Computed, not measured: crystalline BaPb2N2 at its relaxed geometry at the PBE level of DFT.

```
BaPb2N2
1.0
-3.770 -6.573 0.870
2.385 -0.410 7.234
-2.943 1.830 1.074
N Pb Ba
4 4 2
direct
0.369 0.869 0.000
0.131 0.369 0.000
0.631 0.131 0.000
0.869 0.631 0.000
0.634 0.866 0.500
0.366 0.134 0.500
0.134 0.634 0.500
0.866 0.366 0.500
0.500 0.500 0.000
0.000 0.000 0.000
```

Computed properties:
Space group: P4/mbm
Mass density: 9.12 Mg/m³
Formation energy from raw total energies: 0.735 eV per atom
DOS(E_F): 5.90 states/eV/cell
Crystal system: tetragonal

Computed, not measured: crystalline BaPbN at its relaxed geometry at the PBE level of DFT.

```
BaPbN
1.0
4.547 0.000 0.000
-2.274 4.095 -0.036
0.000 -2.337 9.504
N Pb Ba
2 2 2
direct
0.424 0.848 0.971
0.576 0.152 0.029
0.312 0.625 0.424
0.688 0.375 0.576
0.096 0.192 0.829
0.904 0.808 0.171
```

Computed properties:
Space group: C2/m
Mass density: 6.74 Mg/m³
Formation energy from raw total energies: -0.404 eV per atom
DOS(E_F): 3.31 states/eV/cell
Crystal system: monoclinic

Computed, not measured: crystalline BaPb2N2 at its relaxed geometry at the PBE level of DFT.

```
BaPb2N2
1.0
4.789 0.000 0.000
0.000 4.789 0.000
2.394 2.394 5.533
Pb N Ba
2 2 1
direct
0.750 0.250 0.500
0.250 0.750 0.500
0.689 0.689 0.623
0.311 0.311 0.377
0.000 0.000 0.000
```

Computed properties:
Space group: I4/mmm
Mass density: 7.59 Mg/m³
Formation energy from raw total energies: 0.658 eV per atom
DOS(E_F): 3.31 states/eV/cell
Crystal system: tetragonal

Computed, not measured: crystalline Ba7PbN2 at its relaxed geometry at the PBE level of DFT.

```
Ba7PbN2
1.0
-3.491 2.526 -0.118
-6.696 -9.354 -2.164
3.482 5.273 9.854
Ba Pb N
7 1 2
direct
0.000 0.300 0.700
0.500 0.330 0.094
0.500 0.906 0.670
0.000 0.700 0.300
0.500 0.670 0.906
0.500 0.094 0.330
0.500 0.500 0.500
0.000 0.000 0.000
0.500 0.626 0.374
0.500 0.374 0.626
```

Computed properties:
Space group: Cmmm
Mass density: 4.62 Mg/m³
Formation energy from raw total energies: -0.246 eV per atom
DOS(E_F): 8.35 states/eV/cell
Crystal system: orthorhombic

Computed, not measured: crystalline Ba2PdPbN at its relaxed geometry at the PBE level of DFT.

```
Ba2PdPbN
1.0
6.092 0.000 0.000
0.000 6.092 0.000
0.000 0.000 3.889
Ba Pb Pd N
2 1 1 1
direct
0.500 0.000 0.000
0.000 0.500 0.000
0.500 0.500 0.500
0.000 0.000 0.500
0.000 0.000 0.000
```

Computed properties:
Space group: P4/mmm
Mass density: 6.93 Mg/m³
Formation energy from raw total energies: -0.368 eV per atom
DOS(E_F): 3.13 states/eV/cell
Crystal system: tetragonal

Computed, not measured: crystalline Ba2PtPbN at its relaxed geometry at the PBE level of DFT.

```
Ba2PtPbN
1.0
6.183 0.000 0.000
0.000 6.183 0.000
0.000 0.000 3.808
N Ba Pt Pb
1 2 1 1
direct
0.000 0.000 0.000
0.000 0.500 0.000
0.500 0.000 0.000
0.000 0.000 0.500
0.500 0.500 0.500
```

Computed properties:
Space group: P4/mmm
Mass density: 7.88 Mg/m³
Formation energy from raw total energies: -0.516 eV per atom
DOS(E_F): 2.38 states/eV/cell
Crystal system: tetragonal

Computed, not measured: crystalline Ba6PtPb2N at its relaxed geometry at the PBE level of DFT.

```
Ba6PtPb2N
1.0
-4.328 1.099 6.960
-2.584 -7.846 -0.368
9.269 -3.349 6.294
Ba Pt Pb N
12 2 4 2
direct
0.263 0.485 0.500
0.764 0.987 0.000
0.237 0.515 0.000
0.763 0.515 0.000
0.736 0.013 0.500
0.236 0.987 0.000
0.500 0.250 0.264
0.737 0.485 0.500
0.264 0.013 0.500
0.000 0.750 0.764
0.500 0.250 0.736
0.000 0.750 0.236
0.500 0.251 0.000
0.000 0.749 0.500
0.000 0.250 0.250
0.000 0.250 0.750
0.500 0.750 0.250
0.500 0.750 0.750
0.500 0.249 0.500
0.000 0.751 0.000
```

Computed properties:
Space group: Pmmn
Mass density: 6.01 Mg/m³
Formation energy from raw total energies: -0.528 eV per atom
DOS(E_F): 19.37 states/eV/cell
Crystal system: orthorhombic

Computed, not measured: crystalline Rb2BaPbN at its relaxed geometry at the PBE level of DFT.

```
Rb2BaPbN
1.0
6.380 0.000 0.000
0.000 4.789 0.000
0.000 0.000 6.380
Pb Rb Ba N
1 2 1 1
direct
0.500 0.500 0.500
0.000 0.000 0.500
0.500 0.000 0.000
0.000 0.500 0.000
0.000 0.000 0.000
```

Computed properties:
Space group: P4/mmm
Mass density: 4.51 Mg/m³
Formation energy from raw total energies: 0.184 eV per atom
DOS(E_F): 4.31 states/eV/cell
Crystal system: tetragonal

Computed, not measured: crystalline Ba6RhPb2N at its relaxed geometry at the PBE level of DFT.

```
Ba6RhPb2N
1.0
-6.193 5.297 -0.647
-1.587 -0.901 7.969
7.482 2.151 -2.452
Ba N Pb Rh
6 1 2 1
direct
0.240 0.761 0.000
0.760 0.761 0.000
0.761 0.761 0.521
0.239 0.240 0.478
0.760 0.240 0.000
0.239 0.240 0.999
0.000 0.000 0.000
0.250 0.750 0.500
0.750 0.251 0.500
0.500 0.500 0.000
```

Computed properties:
Space group: Fmmm
Mass density: 5.84 Mg/m³
Formation energy from raw total energies: -0.356 eV per atom
DOS(E_F): 13.86 states/eV/cell
Crystal system: orthorhombic

Computed, not measured: crystalline Ba2RhPbN at its relaxed geometry at the PBE level of DFT.

```
Ba2RhPbN
1.0
-0.286 5.253 3.049
-6.034 -0.593 0.456
0.435 -1.888 3.293
Ba Pb Rh N
2 1 1 1
direct
0.500 0.000 0.000
0.000 0.500 0.000
0.500 0.500 0.500
0.000 0.000 0.500
0.000 0.000 0.000
```

Computed properties:
Space group: P4/mmm
Mass density: 7.04 Mg/m³
Formation energy from raw total energies: -0.413 eV per atom
DOS(E_F): 3.23 states/eV/cell
Crystal system: tetragonal

Computed, not measured: crystalline Ba2Rh2Pb2N at its relaxed geometry at the PBE level of DFT.

```
Ba2Rh2Pb2N
1.0
-4.266 -0.721 1.433
-0.349 -6.683 2.849
-0.324 0.576 6.571
Pb Rh N Ba
2 2 1 2
direct
0.816 0.592 0.776
0.184 0.408 0.224
0.170 0.771 0.890
0.830 0.229 0.110
0.000 0.000 0.000
0.440 0.821 0.298
0.560 0.179 0.702
```

Computed properties:
Space group: C2/m
Mass density: 7.94 Mg/m³
Formation energy from raw total energies: -0.416 eV per atom
DOS(E_F): 4.38 states/eV/cell
Crystal system: monoclinic

Computed, not measured: crystalline Ba2SbPbN at its relaxed geometry at the PBE level of DFT.

```
Ba2SbPbN
1.0
-5.175 -2.239 -0.189
1.849 -4.514 2.834
-1.118 2.222 4.269
N Ba Pb Sb
1 2 1 1
direct
0.000 0.000 0.000
0.000 0.500 0.000
0.500 0.000 0.000
0.000 0.000 0.500
0.500 0.500 0.500
```

Computed properties:
Space group: P4/mmm
Mass density: 6.52 Mg/m³
Formation energy from raw total energies: -0.468 eV per atom
DOS(E_F): 1.18 states/eV/cell
Crystal system: tetragonal

Computed, not measured: crystalline Ba2SnPbN at its relaxed geometry at the PBE level of DFT.

```
Ba2SnPbN
1.0
5.837 0.000 0.000
0.000 5.837 0.000
0.000 0.000 4.546
Pb Ba N Sn
1 2 1 1
direct
0.500 0.500 0.500
0.500 0.000 0.000
0.000 0.500 0.000
0.000 0.000 0.000
0.000 0.000 0.500
```

Computed properties:
Space group: P4/mmm
Mass density: 6.59 Mg/m³
Formation energy from raw total energies: -0.325 eV per atom
DOS(E_F): 3.54 states/eV/cell
Crystal system: tetragonal

Computed, not measured: crystalline BaSr2PbN at its relaxed geometry at the PBE level of DFT.

```
BaSr2PbN
1.0
-3.357 3.776 -1.688
-1.870 -3.325 -3.717
-3.844 -1.824 3.565
N Pb Ba Sr
1 1 1 2
direct
0.000 0.000 0.000
0.500 0.500 0.500
0.000 0.000 0.500
0.500 0.000 0.000
0.000 0.500 0.000
```

Computed properties:
Space group: P4/mmm
Mass density: 5.63 Mg/m³
Formation energy from raw total energies: -0.540 eV per atom
DOS(E_F): 6.36 states/eV/cell
Crystal system: tetragonal

Computed, not measured: crystalline BaTc2PbN at its relaxed geometry at the PBE level of DFT.

```
BaTc2PbN
1.0
4.273 0.000 0.000
0.000 5.467 0.000
0.000 0.000 4.273
Ba Tc N Pb
1 2 1 1
direct
0.000 0.500 0.000
0.500 0.000 0.000
0.000 0.000 0.500
0.000 0.000 0.000
0.500 0.500 0.500
```

Computed properties:
Space group: P4/mmm
Mass density: 9.23 Mg/m³
Formation energy from raw total energies: 0.606 eV per atom
DOS(E_F): 6.63 states/eV/cell
Crystal system: tetragonal

no.,E_tot (eV/atom)
1,-8.212
2,-9.194
3,-8.102
4,-3.746
5,-3.674
6,-4.463
7,-5.056
8,-4.540
9,-3.628
10,-4.583
11,-4.900
12,-3.860
13,-2.994
14,-3.819
15,-5.059
16,-5.314
17,-4.468
18,-4.301
19,-4.004
20,-6.332